1.
# CsNb2F

A relaxed structure of CsNb2F (PBE, Alexandria via LeMat-Bulk).

Cell: 4.6979 4.6979 4.6979 Å, 60.00 60.00 60.00°
With the nearest neighbours (Å) after each atom.
Sites, in units of the cell vectors:
Cs (0.5000, 0.5000, 0.5000)  8 Nb 2.88
Nb (0.2500, 0.2500, 0.2500)  4 Cs 2.88, 4 F 2.88
Nb (0.7500, 0.7500, 0.7500)  4 Cs 2.88, 4 F 2.88
F (0.0000, 0.0000, 0.0000)  8 Nb 2.88

raw formation energy	1387	meV per atom



2.
# CsNbF6

A relaxed structure of CsNbF6 (PBE, Alexandria via LeMat-Bulk).

Cell: 5.4496 5.4496 5.4496 Å, 96.18 96.18 96.18°
With the nearest neighbours (Å) after each atom.
Sites, in units of the cell vectors:
Cs (0.0000, 0.0000, 0.0000)  12 F 3.16-3.42
Nb (0.5000, 0.5000, 0.5000)  6 F 1.94
F (0.2902, 0.2174, 0.5833)  1 Nb 1.94
F (0.2174, 0.5833, 0.2902)  1 Nb 1.94
F (0.4167, 0.7098, 0.7826)  1 Nb 1.94
F (0.7826, 0.4167, 0.7098)  1 Nb 1.94
F (0.7098, 0.7826, 0.4167)  1 Nb 1.94
F (0.5833, 0.2902, 0.2174)  1 Nb 1.94

raw formation energy	-3123	meV per atom



3.
# Cs2NbF

A relaxed structure of Cs2NbF (PBE, Alexandria via LeMat-Bulk).

Cell: 5.9974 5.9974 5.9974 Å, 60.00 60.00 60.00°
With the nearest neighbours (Å) after each atom.
Sites, in units of the cell vectors:
Cs (0.2500, 0.2500, 0.2500)  4 F 3.67, 4 Nb 3.67
Cs (0.7500, 0.7500, 0.7500)  4 Nb 3.67, 4 F 3.67
Nb (0.5000, 0.5000, 0.5000)  8 Cs 3.67
F (0.0000, 0.0000, 0.0000)  8 Cs 3.67

raw formation energy	282	meV per atom
offset from the most stable computed form	1.09	eV per formula unit



4.
# CsNb2F11

A relaxed structure of CsNb2F11 (PBE, Alexandria via LeMat-Bulk).

Cell: 8.6182 9.4172 9.4172 Å, 71.74 62.77 62.77°
With the nearest neighbours (Å) after each atom.
Sites, in units of the cell vectors:
Cs (0.7500, 0.7500, 0.7500)  8 F 2.98-3.18
Cs (0.2500, 0.2500, 0.2500)  8 F 2.98-3.18
Nb (0.5979, 0.6761, 0.3239)  6 F 1.92-2.12
Nb (0.4021, 0.3239, 0.6761)  6 F 1.92-2.12
Nb (0.9021, 0.1761, 0.8239)  6 F 1.92-2.12
Nb (0.0979, 0.8239, 0.1761)  6 F 1.92-2.12
F (0.6179, 0.7044, 0.5075)  1 Nb 1.92
F (0.3821, 0.2956, 0.4924)  1 Nb 1.92
F (0.1702, 0.5075, 0.7044)  1 Nb 1.92
F (0.8821, 0.9924, 0.7956)  1 Nb 1.92
F (0.8298, 0.4924, 0.2956)  1 Nb 1.92
F (0.1179, 0.0076, 0.2044)  1 Nb 1.92
F (0.3298, 0.7956, 0.9924)  1 Nb 1.92
F (0.6702, 0.2044, 0.0076)  1 Nb 1.92
F (0.5000, 0.5000, 0.5000)  2 Nb 2.12
F (0.0000, 0.0000, 0.0000)  2 Nb 2.12
F (0.8768, 0.8016, 0.1984)  1 Nb 1.92
F (0.1232, 0.1984, 0.8016)  1 Nb 1.92
F (0.6232, 0.3016, 0.6984)  1 Nb 1.92
F (0.3768, 0.6984, 0.3016)  1 Nb 1.92
F (0.4995, 0.9071, 0.2999)  1 Nb 1.92
F (0.5005, 0.0929, 0.7001)  1 Nb 1.92
F (0.2935, 0.2999, 0.9071)  1 Nb 1.92
F (0.0005, 0.2001, 0.5929)  1 Nb 1.92
F (0.7065, 0.7001, 0.0929)  1 Nb 1.92
F (0.9995, 0.7999, 0.4071)  1 Nb 1.92
F (0.2065, 0.5929, 0.2001)  1 Nb 1.92
F (0.7935, 0.4071, 0.7999)  1 Nb 1.92

raw formation energy	-3038	meV per atom



5.
# Cs2NbF8

A relaxed structure of Cs2NbF8 (PBE, Alexandria via LeMat-Bulk).

Cell: 5.2627 8.7434 9.1656 Å, 118.49 125.64 90.00°
With the nearest neighbours (Å) after each atom.
Sites, in units of the cell vectors:
Cs (0.5162, 0.3339, 0.6678)  6 F 2.90-3.11
Cs (0.4838, 0.6661, 0.3322)  6 F 2.90-3.11
Nb (0.0000, 0.0000, 0.0000)  6 F 1.93-1.95
F (0.6688, 0.0560, 0.7989)  1 Nb 1.95
F (0.3312, 0.2571, 0.2011)  1 Nb 1.95
F (0.8622, 0.0853, 0.1706)  1 Nb 1.93
F (0.1378, 0.9147, 0.8294)  1 Nb 1.93
F (0.6688, 0.7429, 0.7989)  1 Nb 1.95
F (0.3312, 0.9440, 0.2011)  1 Nb 1.95
F (0.2432, 0.4422, 0.8843)  1 F 2.02
F (0.7568, 0.5578, 0.1157)  1 F 2.02

raw formation energy	-2750	meV per atom